(1)
VASP calculation (PBE) on a relaxed structure of NdSmSn.

a b c (Å): 6.7526 5.5452 5.5452
angles (deg): 120.05 90.00 90.00
Sites, in units of the cell vectors:
Nd: 0.2500 0.6668 0.3332
Nd: 0.7500 0.3332 0.6668
Sm: 0.5000 0.0000 0.0000
Sm: 0.0000 0.0000 0.0000
Sn: 0.2500 0.3336 0.6664
Sn: 0.7500 0.6664 0.3336

## Properties
Space group: P6_3/mmc, No. 194
ρ in g cm⁻³: 7.6
Excess energy over the best structure of this formula in the dataset in eV per atom: 0.034
Crystal system: hexagonal
Formation energy from the elements in kJ/mol of formula units: -163.5


(2)
VASP calculation (PBE) on a relaxed structure of AsPBr2.

a b c (Å): 3.2593 4.0462 6.5136
angles (deg): 90.00 90.00 90.00
Sites, in units of the cell vectors:
As: 0.5000 0.5000 0.7500
Br: 0.0000 0.0000 0.0020
Br: 0.0000 0.0000 0.4980
P: 0.5000 0.5000 0.2500

## Properties
Formation energy from raw total energies in meV/atom: 890
Space group: Pmmm, No. 47
ρ in g cm⁻³: 5.1
Excess energy over the best structure of this formula in the dataset in eV per atom: 1.053
Crystal system: orthorhombic


(3)
VASP calculation (PBE) on a relaxed structure of TaAgSbTe2.

a b c (Å): 5.3824 5.3824 5.4464
angles (deg): 90.00 90.00 90.00
Sites, in units of the cell vectors:
Sb: 0.0000 0.0000 0.5000
Te: 0.0000 0.5000 0.0000
Te: 0.5000 0.0000 0.0000
Ag: 0.5000 0.5000 0.5000
Ta: 0.0000 0.0000 0.0000

## Properties
Formation energy from raw total energies in meV/atom: 453
Space group: P4/mmm, No. 123
ρ in g cm⁻³: 7.0
Excess energy over the best structure of this formula in the dataset in eV per atom: 0.000
Crystal system: tetragonal


(4)
VASP calculation (PBE) on a relaxed structure of AcY4Au5.

a b c (Å): 3.6384 3.6384 18.5953
angles (deg): 90.00 90.00 90.00
Sites, in units of the cell vectors:
Ac: 0.0000 0.0000 0.0000
Y: 0.0000 0.0000 0.2089
Y: 0.0000 0.0000 0.4031
Y: 0.0000 0.0000 0.5969
Y: 0.0000 0.0000 0.7911
Au: 0.5000 0.5000 0.1191
Au: 0.5000 0.5000 0.3063
Au: 0.5000 0.5000 0.5000
Au: 0.5000 0.5000 0.6937
Au: 0.5000 0.5000 0.8809

## Properties
Space group: P4/mmm, No. 123
ρ in g cm⁻³: 10.6
Crystal system: tetragonal
Formation energy from the elements in kJ/mol of formula units: -803.0


Listing calculated volume for the structures above in their given order: 179.7; 85.9; 157.8; 246.2 Å³/cell.